# LaAl4Cu2Os

LaAl4Cu2Os after structural relaxation (PBE-GGA, the Alexandria database).

Properties
uncorrected energy: -5.245 eV/atom
ΔH_f (0 K): -2.64 eV per formula unit
V: 17.83 Å³/atom

Structure (CIF):
```
data_LaAl4Cu2Os
_symmetry_space_group_name_H-M 'R -3 m'
_symmetry_Int_Tables_number 166
_symmetry_space_group_name_Hall '-R 3 2"'
_cell_length_a 4.2035
_cell_length_b 4.2035
_cell_length_c 27.9601
_cell_angle_alpha 90.00
_cell_angle_beta 90.00
_cell_angle_gamma 120.00
loop_
_atom_site_label
_atom_site_fract_x
_atom_site_fract_y
_atom_site_fract_z
_atom_site_occupancy
La1 0.0000 0.0000 0.0000 1
Al1 0.0000 0.0000 0.1352 1
Al2 0.0000 0.0000 0.4083 1
Cu1 0.0000 0.0000 0.2300 1
Os1 0.0000 0.0000 0.5000 1
```